The following is a DFT calculation (PBE-GGA) of a relaxed structure of Sr2Nd2In3.

```
data_Sr2Nd2In3
_cell_length_a 5.4836
_cell_length_b 5.4836
_cell_length_c 28.0108
_cell_angle_alpha 90.00
_cell_angle_beta 90.00
_cell_angle_gamma 120.00
_symmetry_space_group_name_H-M 'R -3 m'
_symmetry_Int_Tables_number 166
_symmetry_space_group_name_Hall '-R 3 2"'
loop_
_atom_site_label
_atom_site_type_symbol
_atom_site_fract_x
_atom_site_fract_y
_atom_site_fract_z
_atom_site_occupancy
Sr1 Sr 0.0000 0.0000 0.1282 1
Nd1 Nd 0.0000 0.0000 0.3773 1
In1 In 0.0000 0.0000 0.0000 1
In2 In 0.0000 0.0000 0.2560 1
```

Electronic total energy, eV per cell: -70.3
Formation energy, meV per atom: -331
Theoretical density, g/cm3: 5.521